Entry from the Alexandria database: a geometry-optimized SmThRu4 structure (PBE-GGA).

Cell lengths 5.4113, 5.4113, 5.4113 Å; angles 60.00, 60.00, 60.00 degrees
Atoms (fractional coordinates):
Sm (0.0000, 0.0000, 0.0000)
Th (0.7500, 0.7500, 0.7500)
Ru (0.3749, 0.3749, 0.3749)
Ru (0.3749, 0.3749, 0.8752)
Ru (0.3749, 0.8752, 0.3749)
Ru (0.8752, 0.3749, 0.3749)

Results
- energy of formation (eV/atom) = -0.259
- electronic total energy (Ry per atom) = -0.6223

Entry from the Alexandria database: a geometry-optimized TlTcS2N structure (PBE-GGA).

Cell lengths 4.9300, 4.9300, 3.7652 Å; angles 90.00, 90.00, 90.00 degrees
Atoms (fractional coordinates):
Tl (0.0000, 0.0000, 0.0000)
Tc (0.5000, 0.5000, 0.5000)
S (0.0000, 0.5000, 0.5000)
S (0.5000, 0.0000, 0.5000)
N (0.5000, 0.5000, 0.0000)

Results
- formation energy from raw total energies (kJ per mole of atoms) = 12.44
- electronic total energy (Ry per atom) = -0.4214

Entry from the Alexandria database: a geometry-optimized NaCaPO4 structure (PBE-GGA).

Cell lengths 20.6643, 9.1999, 5.4791 Å; angles 90.00, 90.00, 90.00 degrees
Atoms (fractional coordinates):
Na (0.0574, 0.0637, 0.0000)
Na (0.1079, 0.5754, 0.4701)
Na (0.2237, 0.4275, 0.9546)
Na (0.2763, 0.9275, 0.4546)
Na (0.3921, 0.0754, 0.9701)
Na (0.4426, 0.5637, 0.5000)
Na (0.5574, 0.4363, 0.0000)
Na (0.6079, 0.9246, 0.4701)
Na (0.7237, 0.0725, 0.9546)
Na (0.7763, 0.5725, 0.4546)
Na (0.8921, 0.4246, 0.9701)
Na (0.9426, 0.9363, 0.5000)
Ca (0.0021, 0.7011, 0.0020)
Ca (0.1651, 0.2046, 0.4440)
Ca (0.1688, 0.7934, 0.9667)
Ca (0.3312, 0.2934, 0.4667)
Ca (0.3349, 0.7046, 0.9440)
Ca (0.4979, 0.2011, 0.5020)
Ca (0.5021, 0.7989, 0.0020)
Ca (0.6651, 0.2954, 0.4440)
Ca (0.6688, 0.7066, 0.9667)
Ca (0.8312, 0.2066, 0.4667)
Ca (0.8349, 0.7954, 0.9440)
Ca (0.9979, 0.2989, 0.5020)
P (0.0747, 0.4109, 0.9619)
P (0.0924, 0.9123, 0.4961)
P (0.2423, 0.0831, 0.9631)
P (0.2577, 0.5831, 0.4631)
P (0.4076, 0.4123, 0.9961)
P (0.4253, 0.9109, 0.4619)
P (0.5747, 0.0891, 0.9619)
P (0.5924, 0.5877, 0.4961)
P (0.7423, 0.4169, 0.9631)
P (0.7577, 0.9169, 0.4631)
P (0.9076, 0.0877, 0.9961)
P (0.9253, 0.5891, 0.4619)
O (0.0026, 0.4426, 0.9041)
O (0.0524, 0.0559, 0.5073)
O (0.0738, 0.8115, 0.7139)
O (0.0787, 0.8322, 0.2511)
O (0.0814, 0.3055, 0.1830)
O (0.1038, 0.3407, 0.7265)
O (0.1101, 0.5562, 0.0188)
O (0.1652, 0.9488, 0.5171)
O (0.1697, 0.0569, 0.0175)
O (0.2245, 0.4350, 0.4026)
O (0.2276, 0.6472, 0.7007)
O (0.2484, 0.6915, 0.2475)
O (0.2516, 0.1915, 0.7475)
O (0.2724, 0.1472, 0.2007)
O (0.2755, 0.9350, 0.9026)
O (0.3303, 0.5569, 0.5175)
O (0.3348, 0.4488, 0.0171)
O (0.3899, 0.0562, 0.5188)
O (0.3962, 0.8407, 0.2265)
O (0.4186, 0.8055, 0.6830)
O (0.4213, 0.3322, 0.7511)
O (0.4262, 0.3115, 0.2139)
O (0.4476, 0.5559, 0.0073)
O (0.4974, 0.9426, 0.4041)
O (0.5026, 0.0574, 0.9041)
O (0.5524, 0.4441, 0.5073)
O (0.5738, 0.6885, 0.7139)
O (0.5787, 0.6678, 0.2511)
O (0.5814, 0.1945, 0.1830)
O (0.6038, 0.1593, 0.7265)
O (0.6101, 0.9438, 0.0188)
O (0.6652, 0.5512, 0.5171)
O (0.6697, 0.4431, 0.0175)
O (0.7245, 0.0650, 0.4026)
O (0.7276, 0.8528, 0.7007)
O (0.7484, 0.8085, 0.2475)
O (0.7516, 0.3085, 0.7475)
O (0.7724, 0.3528, 0.2007)
O (0.7755, 0.5650, 0.9026)
O (0.8303, 0.9431, 0.5175)
O (0.8348, 0.0512, 0.0171)
O (0.8899, 0.4438, 0.5188)
O (0.8962, 0.6593, 0.2265)
O (0.9186, 0.6945, 0.6830)
O (0.9213, 0.1678, 0.7511)
O (0.9262, 0.1885, 0.2139)
O (0.9476, 0.9441, 0.0073)
O (0.9974, 0.5574, 0.4041)

Results
- formation energy from raw total energies (kJ per mole of atoms) = -254.38
- electronic total energy (Ry per atom) = -0.4937

Entry from the Alexandria database: a geometry-optimized Ag3BP structure (PBE-GGA).

Cell lengths 4.3873, 4.3873, 4.3873 Å; angles 90.00, 90.00, 90.00 degrees
Atoms (fractional coordinates):
Ag (0.0000, 0.0000, 0.5000)
Ag (0.0000, 0.5000, 0.0000)
Ag (0.5000, 0.0000, 0.0000)
B (0.0000, 0.0000, 0.0000)
P (0.5000, 0.5000, 0.5000)

Results
- energy of formation (eV/atom) = 0.785
- electronic total energy (Ry per atom) = -0.2457

- Look up the electronic total energy of the second one.
  -0.4214 Ry per atom

- Which formula does entry 3 have?
  NaCaPO4